The following is a PBE calculation of an optimized crystal structure of VSiHg2, from the Alexandria database.

DOS(E_F) (states/eV per cell): 7.3
Energy above the most stable polymorph in this dataset (meV/atom): 0
Raw formation energy (eV per atom): 0.573

Geometry as POSCAR:
```
VSiHg2
1.0
7.724 0.000 0.000
0.000 7.724 0.000
3.862 3.862 2.703
V Hg Si
2 4 2
direct
0.000 0.000 0.000
0.750 0.250 0.500
0.150 0.625 0.250
0.875 0.850 0.750
0.600 0.125 0.250
0.375 0.400 0.750
0.500 0.500 0.000
0.250 0.750 0.500
```